8
Lattice="-3.233 3.233 6.474 3.233 -3.233 6.474 3.233 3.233 -6.474" Properties=species:S:1:pos:R:3 comment="Ag2IBr | the Alexandria database | GGA-PBE | optimized geometry" e_above_lowest_polymorph_mev_per_atom=0.0 pbc="T T T"
Ag 4.849 1.543 -1.618
Ag 1.543 1.616 1.618
Ag -1.616 1.689 4.855
Ag 1.689 1.616 8.092
I 3.233 0.000 3.237
I 0.000 0.000 6.474
Br 0.000 0.000 0.000
Br 0.000 3.233 3.237


6
Lattice="-1.993 1.993 8.632 1.993 -1.993 8.632 1.993 1.993 -8.632" Properties=species:S:1:pos:R:3 comment="ScUHg | the Alexandria database | GGA-PBE | optimized geometry" ef_ev_per_atom=0.03 pbc="T T T"
Sc 0.000 0.000 3.152
Sc 0.000 0.000 14.112
U 1.993 0.000 0.000
U 0.000 1.993 0.000
Hg 0.000 0.000 6.093
Hg 0.000 0.000 11.172


4
Lattice="0.000 3.649 3.649 3.649 0.000 3.649 3.649 3.649 0.000" Properties=species:S:1:pos:R:3 comment="GdPuZnAg | the Alexandria database | GGA-PBE | optimized geometry" ef_ev_per_atom=-0.09 pbc="T T T"
Gd 0.000 0.000 0.000
Pu 3.649 3.649 3.649
Zn 1.824 1.824 1.824
Ag 5.473 5.473 5.473


10
Lattice="0.000 4.259 4.259 4.259 0.000 4.259 4.259 4.259 0.000" Properties=species:S:1:pos:R:3 comment="Ba2CePtO6 | the Alexandria database | GGA-PBE | optimized geometry" energy_ha_per_atom=-0.2550 pbc="T T T"
Ba 2.130 2.130 2.130
Ba 6.389 6.389 6.389
Ce 0.000 0.000 0.000
Pt 4.259 4.259 4.259
O 4.259 4.259 2.219
O 4.259 2.219 4.259
O 6.299 4.259 4.259
O 2.219 4.259 4.259
O 4.259 6.299 4.259
O 4.259 4.259 6.299


4
Lattice="1.687 0.974 8.022 -1.687 0.974 8.022 0.000 -1.947 8.022" Properties=species:S:1:pos:R:3 comment="Hf2TiP | the Alexandria database | GGA-PBE | optimized geometry" ef_ev_per_atom=-0.44 pbc="T T T"
Hf 0.000 0.000 5.671
Hf 0.000 0.000 18.396
Ti 0.000 0.000 0.000
P 0.000 0.000 12.033


28
Lattice="0.000 7.876 12.456 4.029 0.000 12.456 4.029 7.876 0.000" Properties=species:S:1:pos:R:3 comment="Rb2Pd3Se2 | the Alexandria database | GGA-PBE | optimized geometry" energy_ha_per_atom=-0.1463 pbc="T T T"
Rb 3.039 11.848 15.557
Rb 5.020 3.904 9.355
Rb 7.034 7.842 15.557
Rb 5.020 7.910 9.329
Rb 1.024 3.904 9.329
Rb 7.034 11.848 15.583
Rb 3.039 7.842 15.583
Rb 1.024 7.910 9.355
Pd 0.000 0.000 0.000
Pd 2.015 3.938 0.000
Pd 2.015 0.000 6.228
Pd 2.752 4.508 6.234
Pd 3.292 7.307 6.234
Pd 3.292 4.508 12.451
Pd 5.307 8.446 12.462
Pd 0.000 3.938 6.228
Pd 2.752 7.307 12.451
Pd 4.767 11.245 12.462
Pd 4.767 8.446 18.679
Pd 5.307 11.245 18.679
Se 2.980 2.153 6.946
Se 3.064 2.153 11.738
Se 5.079 6.092 13.174
Se 4.995 6.092 17.966
Se 3.064 9.661 6.946
Se 2.980 9.661 11.738
Se 4.995 13.599 13.174
Se 5.079 13.599 17.966


18
Lattice="8.477 0.000 0.000 0.000 8.477 0.000 0.000 0.000 5.716" Properties=species:S:1:pos:R:3 comment="Sm4DyCo4 | the Alexandria database | GGA-PBE | optimized geometry" ef_ev_per_atom=-0.01 pbc="T T T"
Sm 0.479 5.735 0.743
Sm 1.496 7.998 3.601
Sm 2.742 4.717 3.601
Sm 3.760 6.980 0.743
Sm 4.717 1.496 4.973
Sm 5.735 3.760 2.115
Sm 6.980 0.479 2.115
Sm 7.998 2.742 4.973
Dy 2.119 2.119 1.429
Dy 6.357 6.357 4.287
Co 0.090 5.198 3.474
Co 0.960 8.386 0.616
Co 3.279 4.329 0.616
Co 4.148 7.517 3.474
Co 4.329 0.960 2.242
Co 5.198 4.148 5.100
Co 7.517 0.090 5.100
Co 8.386 3.279 2.242


7
Lattice="2.003 -9.729 0.000 2.003 9.729 0.000 0.000 0.000 2.732" Properties=species:S:1:pos:R:3 comment="Pt2Rh3W2 | the Alexandria database | GGA-PBE | optimized geometry" ef_ev_per_atom=-0.14 pbc="T T T"
Pt 2.003 5.728 0.000
Pt 2.003 -5.728 0.000
Rh 2.003 8.398 0.000
Rh 2.003 0.000 1.366
Rh 2.003 -8.398 0.000
W 2.003 2.719 1.366
W 2.003 -2.719 1.366


5
Lattice="3.829 0.000 0.000 0.000 3.829 0.000 0.000 0.000 6.334" Properties=species:S:1:pos:R:3 comment="ZnGaIO2 | the Alexandria database | GGA-PBE | optimized geometry" e_above_lowest_polymorph_mev_per_atom=0.0 pbc="T T T"
Zn 0.000 0.000 0.000
Ga 1.914 1.914 3.167
I 1.914 1.914 0.000
O 0.000 1.914 3.167
O 1.914 0.000 3.167


8
Lattice="-2.517 2.517 5.307 2.517 -2.517 5.307 2.517 2.517 -5.307" Properties=species:S:1:pos:R:3 comment="CrFeP2 | the Alexandria database | GGA-PBE | optimized geometry" ef_ev_per_atom=0.04 e_above_lowest_polymorph_mev_per_atom=599.0 pbc="T T T"
Cr 0.000 0.000 0.000
Cr 0.000 2.517 2.653
Fe 2.517 0.000 2.653
Fe 0.000 0.000 5.307
P 1.259 -1.127 3.980
P 1.390 1.259 1.327
P 1.259 3.644 -1.327
P 1.127 1.259 6.633


20
Lattice="-5.111 5.111 5.111 5.111 -5.111 5.111 5.111 5.111 -5.111" Properties=species:S:1:pos:R:3 comment="Nd12DyAl4O3 | the Alexandria database | GGA-PBE | optimized geometry" energy_ha_per_atom=-0.1929 pbc="T T T"
Nd 2.799 0.000 0.000
Nd 7.423 0.000 0.000
Nd 5.111 2.556 0.000
Nd 5.111 0.000 2.556
Nd 0.000 2.799 0.000
Nd 0.000 0.000 2.799
Nd 2.556 5.111 0.000
Nd 2.556 0.000 5.111
Nd 0.000 7.423 0.000
Nd 0.000 0.000 7.423
Nd 0.000 5.111 2.556
Nd 0.000 2.556 5.111
Dy 0.000 0.000 0.000
Al 2.556 2.556 -2.556
Al 2.556 -2.556 2.556
Al -2.556 2.556 2.556
Al 2.556 2.556 2.556
O 5.111 0.000 0.000
O 0.000 5.111 0.000
O 0.000 0.000 5.111


4
Lattice="2.916 0.000 0.000 0.000 2.916 0.000 0.000 0.000 9.398" Properties=species:S:1:pos:R:3 comment="Ca2ReSi | the Alexandria database | GGA-PBE | optimized geometry" energy_ha_per_atom=-0.1869 pbc="T T T"
Ca 0.000 0.000 2.261
Ca 0.000 0.000 7.137
Re 1.458 1.458 4.699
Si 1.458 1.458 0.000


| no. | V (A^3/atom) |
| --- | --- |
| 1 | 33.830 |
| 2 | 22.852 |
| 3 | 24.289 |
| 4 | 15.453 |
| 5 | 19.761 |
| 6 | 28.237 |
| 7 | 22.817 |
| 8 | 15.208 |
| 9 | 18.568 |
| 10 | 16.811 |
| 11 | 26.703 |
| 12 | 19.979 |